1.
Here is a relaxed structure of SeCl5 from the Alexandria database. Energies are from PBE.

abc: 4.142 10.027 10.027
angles: 24.22 90.00 90.00
Fractional positions:
Se1 0.000 0.000 0.000
Cl1 0.000 0.231 0.231
Cl2 0.000 0.558 0.558
Cl3 0.500 0.062 0.062
Cl4 0.500 0.428 0.428
Cl5 0.500 0.732 0.732

Calculated values
excess energy over the best structure of this formula in the dataset = 0.000 eV/atom
uncorrected formation energy = 0.3884 eV per atom
uncorrected energy = -1.731 eV per atom
N(E_F) = 0.56 states/eV per atom

***

2.
Here is a relaxed structure of SeCl3 from the Alexandria database. Energies are from PBE.

abc: 4.864 4.864 4.864
angles: 60.00 60.00 60.00
Fractional positions:
Se1 0.000 0.000 0.000
Cl1 0.250 0.250 0.250
Cl2 0.500 0.500 0.500
Cl3 0.750 0.750 0.750

Calculated values
uncorrected formation energy = 0.6655 eV per atom
uncorrected energy = -1.591 eV per atom
N(E_F) = 1.03 states/eV per atom

***

3.
Here is a relaxed structure of Se2Cl3 from the Alexandria database. Energies are from PBE.

abc: 11.028 6.731 12.337
angles: 62.81 32.88 84.31
Fractional positions:
Se1 0.079 0.921 0.150
Se2 0.100 0.400 0.171
Se3 0.400 0.100 0.329
Se4 0.921 0.079 0.850
Cl1 0.024 0.024 0.976
Cl2 0.087 0.665 0.639
Cl3 0.274 0.274 0.226
Cl4 0.611 0.641 0.163
Cl5 0.641 0.611 0.585
Cl6 0.665 0.087 0.609

Calculated values
uncorrected formation energy = -0.0249 eV per atom
uncorrected energy = -2.527 eV per atom
N(E_F) = 0.24 states/eV per atom

***

4.
Here is a relaxed structure of SeCl from the Alexandria database. Energies are from PBE.

abc: 3.102 5.223 5.223
angles: 40.64 90.00 90.00
Fractional positions:
Se1 0.000 0.000 0.000
Cl1 0.000 0.221 0.221

Calculated values
uncorrected formation energy = 0.0963 eV per atom
uncorrected energy = -2.569 eV per atom
N(E_F) = 0.67 states/eV per atom